The following is a PBE-GGA calculation of a relaxed structure of SrMnTl, from Alexandria via LeMat-Bulk.

```
data_SrMnTl
_chemical_formula_sum 'Sr1 Mn1 Tl1'
_space_group_name_H-M_alt 'P 1'
_space_group_IT_number 1
_cell_length_a 5.192
_cell_length_b 5.192
_cell_length_c 5.192
_cell_angle_alpha 60.00
_cell_angle_beta 60.00
_cell_angle_gamma 60.00
loop_
_space_group_symop_operation_xyz
'x,y,z'
loop_
_atom_site_label
_atom_site_fract_x
_atom_site_fract_y
_atom_site_fract_z
Sr1 0.000 0.000 0.000
Mn1 0.500 0.500 0.500
Tl1 0.750 0.750 0.750
```

Results
**M_tot**: 3.99 μB per cell
**Electronic total energy**: -4.0378 eV/atom
**E_form**: 0.3681 eV/atom
**SG**: No. 216